VASP calculation (GGA+U) on an optimized crystal structure of La2CoIrO6.

Geometry as CIF:
```
data_La2CoIrO6
_cell_length_a 5.513
_cell_length_b 5.675
_cell_length_c 9.580
_cell_angle_alpha 90.00
_cell_angle_beta 125.11
_cell_angle_gamma 90.00
_symmetry_space_group_name_H-M 'P 1 21/c 1'
_symmetry_Int_Tables_number 14
_symmetry_space_group_name_Hall '-P 2ybc'
loop_
_atom_site_label
_atom_site_fract_x
_atom_site_fract_y
_atom_site_fract_z
_atom_site_occupancy
La1 0.237 0.057 0.250 1
Co1 0.000 0.000 0.500 1
Ir1 0.500 0.000 0.000 1
O1 0.147 0.210 0.953 1
O2 0.248 0.698 0.954 1
O3 0.333 0.020 0.743 1
```

Calculated values
M_tot = 0.0 μB/f.u.
E_tot = -7.459 eV per atom